MgZnHg | PBEsol | relaxed

DFT formation energy   104 meV/atom
Calculated total energy   -1.18 eV/atom
Space-group type   No. 216

Unit cell a=6.400 b=6.400 c=6.400 alpha=90.00 beta=90.00 gamma=90.00
Sites, in units of the cell vectors:
Mg  0.000  0.000  0.000
Mg  0.000  0.500  0.500
Mg  0.500  0.000  0.500
Mg  0.500  0.500  0.000
Zn  0.250  0.250  0.750
Zn  0.250  0.750  0.250
Zn  0.750  0.250  0.250
Zn  0.750  0.750  0.750
Hg  0.250  0.250  0.250
Hg  0.250  0.750  0.750
Hg  0.750  0.250  0.750
Hg  0.750  0.750  0.250

***

MgZnHg2 | PBEsol | relaxed

DFT formation energy   -100 meV/atom
Calculated total energy   -1.21 eV/atom
Space-group type   No. 65

Unit cell a=6.140 b=6.929 c=3.662 alpha=90.00 beta=90.00 gamma=90.00
Sites, in units of the cell vectors:
Mg  0.000  0.000  0.000
Mg  0.500  0.500  0.000
Zn  0.000  0.500  0.000
Zn  0.500  0.000  0.000
Hg  0.250  0.250  0.500
Hg  0.250  0.750  0.500
Hg  0.750  0.250  0.500
Hg  0.750  0.750  0.500

***

Mg2ZnHg2 | PBEsol | relaxed

DFT formation energy   -147 meV/atom
Calculated total energy   -1.38 eV/atom
Space-group type   No. 127

Unit cell a=7.150 b=7.150 c=4.027 alpha=90.00 beta=90.00 gamma=90.00
Sites, in units of the cell vectors:
Mg  0.159  0.341  0.000
Mg  0.341  0.841  0.000
Mg  0.659  0.159  0.000
Mg  0.841  0.659  0.000
Zn  0.000  0.000  0.500
Zn  0.500  0.500  0.500
Hg  0.147  0.647  0.500
Hg  0.353  0.147  0.500
Hg  0.647  0.853  0.500
Hg  0.853  0.353  0.500

***

MgZnHg2 | PBEsol | relaxed

DFT formation energy   -104 meV/atom
Calculated total energy   -1.21 eV/atom
Space-group type   No. 47

Unit cell a=3.321 b=3.589 c=6.536 alpha=90.00 beta=90.00 gamma=90.00
Sites, in units of the cell vectors:
Mg  0.000  0.000  0.000
Zn  0.000  0.000  0.500
Hg  0.500  0.500  0.260
Hg  0.500  0.500  0.740

***

Mg2ZnHg | PBEsol | relaxed

DFT formation energy   -176 meV/atom
Calculated total energy   -1.57 eV/atom
Space-group type   No. 123

Unit cell a=3.350 b=3.350 c=6.695 alpha=90.00 beta=90.00 gamma=90.00
Sites, in units of the cell vectors:
Mg  0.000  0.000  0.238
Mg  0.000  0.000  0.762
Zn  0.500  0.500  0.000
Hg  0.500  0.500  0.500

***

Mg2Zn2Hg | PBEsol | relaxed

DFT formation energy   139 meV/atom
Calculated total energy   -1.29 eV/atom
Space-group type   No. 139

Unit cell a=4.114 b=4.114 c=12.067 alpha=90.00 beta=90.00 gamma=90.00
Sites, in units of the cell vectors:
Mg  0.000  0.500  0.250
Mg  0.000  0.500  0.750
Mg  0.500  0.000  0.250
Mg  0.500  0.000  0.750
Zn  0.000  0.000  0.098
Zn  0.000  0.000  0.902
Zn  0.500  0.500  0.402
Zn  0.500  0.500  0.598
Hg  0.000  0.000  0.500
Hg  0.500  0.500  0.000

***

MgZnHg2 | PBEsol | relaxed

DFT formation energy   -107 meV/atom
Calculated total energy   -1.22 eV/atom
Space-group type   No. 123

Unit cell a=4.444 b=4.444 c=3.919 alpha=90.00 beta=90.00 gamma=90.00
Sites, in units of the cell vectors:
Mg  0.000  0.000  0.000
Zn  0.500  0.500  0.000
Hg  0.000  0.500  0.500
Hg  0.500  0.000  0.500

***

Mg2ZnHg | PBEsol | relaxed

DFT formation energy   -178 meV/atom
Calculated total energy   -1.57 eV/atom
Space-group type   No. 6

Unit cell a=3.280 b=4.441 c=5.518 alpha=90.00 beta=105.73 gamma=90.00
Sites, in units of the cell vectors:
Mg  0.000  0.000  0.000
Mg  0.305  0.500  0.643
Zn  0.575  0.500  0.165
Hg  0.724  0.000  0.465

***

MgZnHg | PBEsol | relaxed

DFT formation energy   -127 meV/atom
Calculated total energy   -1.42 eV/atom
Space-group type   No. 8

Unit cell a=5.104 b=5.164 c=4.929 alpha=90.00 beta=120.92 gamma=90.00
Sites, in units of the cell vectors:
Mg  0.000  0.000  0.000
Mg  0.500  0.500  0.000
Zn  0.167  0.500  0.334
Zn  0.667  0.000  0.334
Hg  0.333  0.000  0.665
Hg  0.833  0.500  0.665

***

MgZnHg2 | PBEsol | relaxed

DFT formation energy   -94 meV/atom
Calculated total energy   -1.20 eV/atom
Space-group type   No. 99

Unit cell a=3.702 b=3.702 c=5.769 alpha=90.00 beta=90.00 gamma=90.00
Sites, in units of the cell vectors:
Mg  0.000  0.000  0.000
Zn  0.500  0.500  0.273
Hg  0.000  0.000  0.482
Hg  0.500  0.500  0.779

***

MgZnHg2 | PBEsol | relaxed

DFT formation energy   -99 meV/atom
Calculated total energy   -1.21 eV/atom
Space-group type   No. 8

Unit cell a=9.495 b=3.536 c=4.795 alpha=90.00 beta=101.25 gamma=90.00
Sites, in units of the cell vectors:
Mg  0.000  0.000  0.000
Mg  0.500  0.500  0.000
Zn  0.251  0.000  0.721
Zn  0.751  0.500  0.721
Hg  0.004  0.500  0.520
Hg  0.245  0.500  0.204
Hg  0.504  0.000  0.520
Hg  0.745  0.000  0.204

***

MgZr2Hg | PBEsol | relaxed

DFT formation energy   -156 meV/atom
Calculated total energy   -5.27 eV/atom
Space-group type   No. 139

Unit cell a=4.256 b=4.256 c=9.053 alpha=90.00 beta=90.00 gamma=90.00
Sites, in units of the cell vectors:
Mg  0.000  0.000  0.000
Mg  0.500  0.500  0.500
Zr  0.000  0.500  0.250
Zr  0.000  0.500  0.750
Zr  0.500  0.000  0.250
Zr  0.500  0.000  0.750
Hg  0.000  0.000  0.500
Hg  0.500  0.500  0.000